TbYBePd: relaxed, PBE.

```
TbYBePd
1.0
0.000 3.489 3.489
3.489 0.000 3.489
3.489 3.489 0.000
Tb Y Be Pd
1 1 1 1
direct
0.000 0.000 0.000 Tb
0.500 0.500 0.500 Y
0.250 0.250 0.250 Be
0.750 0.750 0.750 Pd
```

Properties
* E: -5.35 eV/atom
* crystal system: cubic
* SG: F-43m
* energy relative to the elements: -34 kJ/mol of atoms

Mn2GaH: relaxed, PBE.

```
Mn2GaH
1.0
0.000 2.902 2.902
2.902 0.000 2.902
2.902 2.902 0.000
Mn Ga H
2 1 1
direct
0.250 0.250 0.250 Mn
0.750 0.750 0.750 Mn
0.000 0.000 0.000 Ga
0.500 0.500 0.500 H
```

Properties
* E: -5.73 eV/atom
* crystal system: cubic
* SG: Fm-3m
* energy above the most stable polymorph in this dataset: 491 meV per atom

CsBa8Sr6: relaxed, PBE.

```
CsBa8Sr6
1.0
10.727 0.000 0.000
4.782 9.654 0.000
4.797 3.029 9.217
Cs Ba Sr
1 8 6
direct
0.000 0.000 0.000 Cs
0.081 0.642 0.777 Ba
0.225 0.922 0.361 Ba
0.360 0.223 0.920 Ba
0.421 0.426 0.427 Ba
0.579 0.574 0.573 Ba
0.640 0.777 0.080 Ba
0.775 0.078 0.639 Ba
0.919 0.358 0.223 Ba
0.092 0.272 0.548 Sr
0.271 0.546 0.097 Sr
0.450 0.903 0.727 Sr
0.550 0.097 0.273 Sr
0.729 0.454 0.903 Sr
0.908 0.728 0.452 Sr
```

Properties
* E: -1.63 eV/atom
* crystal system: triclinic
* SG: P-1
* energy relative to the elements: 12 kJ/mol of atoms

TcHgRh2: relaxed, PBE.

```
TcHgRh2
1.0
4.583 -1.393 0.000
4.583 1.393 0.000
-0.769 0.000 4.931
Tc Hg Rh
1 1 2
direct
0.000 0.000 0.000 Tc
0.500 0.500 0.500 Hg
0.255 0.255 0.772 Rh
0.745 0.745 0.228 Rh
```

Properties
* E: -6.10 eV/atom
* crystal system: monoclinic
* SG: C2/m
* energy relative to the elements: 24 kJ/mol of atoms

TmHfTh: relaxed, PBE.

```
TmHfTh
1.0
3.356 0.000 0.000
0.000 4.850 0.000
-1.676 0.000 10.374
Tm Hf Th
2 2 2
direct
0.135 0.250 0.270 Tm
0.865 0.750 0.730 Tm
0.285 0.250 0.570 Hf
0.715 0.750 0.430 Hf
0.453 0.250 0.905 Th
0.547 0.750 0.095 Th
```

Properties
* E: -7.06 eV/atom
* crystal system: monoclinic
* SG: P2_1/m
* energy relative to the elements: 21 kJ/mol of atoms
* energy above the most stable polymorph in this dataset: 106 meV per atom

Ba2LaOs3O12: relaxed, PBE.

```
Ba2LaOs3O12
1.0
3.702 2.138 5.511
-3.702 2.138 5.511
0.000 -4.275 5.511
Ba La Os O
2 1 3 12
direct
0.112 0.112 0.112 Ba
0.888 0.888 0.888 Ba
0.500 0.500 0.500 La
0.000 0.500 0.500 Os
0.500 0.000 0.500 Os
0.500 0.500 0.000 Os
0.076 0.632 0.632 O
0.220 0.220 0.611 O
0.220 0.611 0.220 O
0.368 0.368 0.924 O
0.368 0.924 0.368 O
0.389 0.780 0.780 O
0.611 0.220 0.220 O
0.632 0.076 0.632 O
0.632 0.632 0.076 O
0.780 0.389 0.780 O
0.780 0.780 0.389 O
0.924 0.368 0.368 O
```

Properties
* E: -7.44 eV/atom
* crystal system: trigonal
* SG: R-3m

BaMg2Pb10: relaxed, PBE.

```
BaMg2Pb10
1.0
0.000 7.867 8.291
3.190 0.000 8.291
3.190 7.867 0.000
Ba Mg Pb
1 2 10
direct
0.000 0.000 0.000 Ba
0.000 0.500 0.000 Mg
0.500 0.000 0.500 Mg
0.000 0.000 0.500 Pb
0.011 0.352 0.648 Pb
0.279 0.490 0.510 Pb
0.352 0.011 0.989 Pb
0.490 0.279 0.721 Pb
0.500 0.500 0.000 Pb
0.510 0.721 0.279 Pb
0.648 0.989 0.011 Pb
0.721 0.510 0.490 Pb
0.989 0.648 0.352 Pb
```

Properties
* E: -3.36 eV/atom
* crystal system: orthorhombic
* SG: Fmmm
* energy relative to the elements: -11 kJ/mol of atoms

Pu2AsPt: relaxed, PBE.

```
Pu2AsPt
1.0
3.789 0.000 0.000
0.000 3.789 0.000
0.000 0.000 5.938
Pu As Pt
2 1 1
direct
0.000 0.000 0.247 Pu
0.000 0.000 0.753 Pu
0.500 0.500 0.000 As
0.500 0.500 0.500 Pt
```

Properties
* E: -10.63 eV/atom
* crystal system: tetragonal
* SG: P4/mmm
* energy relative to the elements: -76 kJ/mol of atoms
* energy above the most stable polymorph in this dataset: 31 meV per atom

DyAsF: relaxed, PBE.

```
DyAsF
1.0
3.901 0.000 0.000
-1.950 3.378 0.000
0.000 0.000 4.360
Dy As F
1 1 1
direct
0.000 0.000 0.000 Dy
0.667 0.333 0.500 As
0.333 0.667 0.000 F
```

Properties
* E: -5.85 eV/atom
* crystal system: hexagonal
* SG: P-6m2
* energy above the most stable polymorph in this dataset: 215 meV per atom

CsKF4: relaxed, PBE.

```
CsKF4
1.0
5.255 -5.519 0.000
5.255 5.519 0.000
-5.000 0.000 5.379
Cs K F
2 2 8
direct
0.137 0.863 0.750 Cs
0.863 0.137 0.250 Cs
0.455 0.545 0.250 K
0.545 0.455 0.750 K
0.211 0.509 0.414 F
0.234 0.255 0.749 F
0.255 0.234 0.249 F
0.491 0.789 0.086 F
0.509 0.211 0.914 F
0.745 0.766 0.751 F
0.766 0.745 0.251 F
0.789 0.491 0.586 F
```

Properties
* E: -3.45 eV/atom
* crystal system: monoclinic
* SG: C2/c

SrPt3S: relaxed, PBE.

```
SrPt3S
1.0
4.671 0.000 0.000
0.000 4.671 0.000
0.000 0.000 4.671
Sr Pt S
1 3 1
direct
0.000 0.000 0.000 Sr
0.000 0.500 0.500 Pt
0.500 0.000 0.500 Pt
0.500 0.500 0.000 Pt
0.500 0.500 0.500 S
```

Properties
* E: -5.16 eV/atom
* crystal system: cubic
* SG: Pm-3m
* energy above the most stable polymorph in this dataset: 0 meV per atom

NiTeS: relaxed, PBE.

```
NiTeS
1.0
6.014 0.000 0.000
0.000 6.014 0.000
0.000 0.000 6.014
Ni Te S
4 4 4
direct
0.021 0.021 0.021 Ni
0.479 0.979 0.521 Ni
0.521 0.479 0.979 Ni
0.979 0.521 0.479 Ni
0.130 0.630 0.870 Te
0.370 0.370 0.370 Te
0.630 0.870 0.130 Te
0.870 0.130 0.630 Te
0.117 0.883 0.383 S
0.383 0.117 0.883 S
0.617 0.617 0.617 S
0.883 0.383 0.117 S
```

Properties
* E: -4.52 eV/atom
* crystal system: cubic
* SG: P2_13
* energy above the most stable polymorph in this dataset: 29 meV per atom

Al2TeP: relaxed, PBE.

```
Al2TeP
1.0
3.949 0.000 0.000
0.000 4.603 0.000
-0.021 0.000 5.479
Al Te P
2 1 1
direct
0.000 0.000 0.000 Al
0.500 0.500 0.374 Al
0.001 0.500 0.725 Te
0.501 0.000 0.238 P
```

Properties
* E: -4.24 eV/atom
* crystal system: monoclinic
* SG: Pm
* energy above the most stable polymorph in this dataset: 47 meV per atom

InTcBr2: relaxed, PBE.

```
InTcBr2
1.0
1.781 1.028 8.902
-1.781 1.028 8.902
0.000 -2.056 8.902
In Tc Br
1 1 2
direct
0.000 0.000 0.000 In
0.258 0.258 0.258 Tc
0.539 0.539 0.539 Br
0.742 0.742 0.742 Br
```

Properties
* E: -4.16 eV/atom
* crystal system: trigonal
* SG: R3m
* energy above the most stable polymorph in this dataset: 24 meV per atom

LiBe: relaxed, PBE.

```
LiBe
1.0
0.000 2.359 2.359
2.359 0.000 2.359
2.359 2.359 0.000
Li Be
1 1
direct
0.000 0.000 0.000 Li
0.500 0.500 0.500 Be
```

Properties
* E: -1.99 eV/atom
* crystal system: cubic
* SG: Fm-3m
* energy relative to the elements: 80 kJ/mol of atoms
* energy above the most stable polymorph in this dataset: 700 meV per atom

ZnSi2Tc: relaxed, PBE.

```
ZnSi2Tc
1.0
4.520 -1.489 0.000
4.520 1.489 0.000
-0.412 0.000 4.191
Zn Si Tc
1 2 1
direct
0.000 0.000 0.000 Zn
0.251 0.251 0.800 Si
0.470 0.470 0.474 Si
0.744 0.744 0.299 Tc
```

Properties
* E: -5.62 eV/atom
* crystal system: monoclinic
* SG: Cm
* energy above the most stable polymorph in this dataset: 110 meV per atom

FeSnPb3: relaxed, PBE.

```
FeSnPb3
1.0
5.152 0.000 0.000
0.000 5.152 0.000
0.000 0.000 5.152
Fe Sn Pb
1 1 3
direct
0.000 0.000 0.000 Fe
0.500 0.500 0.500 Sn
0.000 0.000 0.500 Pb
0.000 0.500 0.000 Pb
0.500 0.000 0.000 Pb
```

Properties
* E: -4.35 eV/atom
* crystal system: cubic
* SG: Pm-3m
* energy relative to the elements: 35 kJ/mol of atoms
* energy above the most stable polymorph in this dataset: 0 meV per atom

HoMn6Sn6: relaxed, PBE.

```
HoMn6Sn6
1.0
5.446 0.000 0.000
-2.723 4.716 0.000
0.000 0.000 8.962
Ho Mn Sn
1 6 6
direct
0.000 0.000 0.000 Ho
0.000 0.500 0.248 Mn
0.000 0.500 0.752 Mn
0.500 0.000 0.248 Mn
0.500 0.000 0.752 Mn
0.500 0.500 0.248 Mn
0.500 0.500 0.752 Mn
0.000 0.000 0.333 Sn
0.000 0.000 0.667 Sn
0.333 0.667 0.000 Sn
0.333 0.667 0.500 Sn
0.667 0.333 0.000 Sn
0.667 0.333 0.500 Sn
```

Properties
* E: -6.56 eV/atom
* crystal system: hexagonal
* SG: P6/mmm
* energy relative to the elements: -13 kJ/mol of atoms

ThCuPd: relaxed, PBE.

```
ThCuPd
1.0
-1.867 1.867 4.481
1.867 -1.867 4.481
1.867 1.867 -4.481
Th Cu Pd
1 1 1
direct
0.000 0.000 0.000 Th
0.672 0.672 0.000 Cu
0.336 0.336 0.000 Pd
```

Properties
* E: -5.96 eV/atom
* crystal system: tetragonal
* SG: I4mm
* energy relative to the elements: -38 kJ/mol of atoms
* energy above the most stable polymorph in this dataset: 135 meV per atom

Li3Ag2Hg4: relaxed, PBE.

```
Li3Ag2Hg4
1.0
4.099 -2.370 0.000
4.099 2.370 0.000
-0.038 0.000 8.697
Li Ag Hg
3 2 4
direct
0.000 0.000 0.000 Li
0.334 0.334 0.232 Li
0.666 0.666 0.768 Li
0.333 0.333 0.557 Ag
0.667 0.667 0.443 Ag
0.001 0.001 0.322 Hg
0.333 0.333 0.901 Hg
0.667 0.667 0.099 Hg
0.999 0.999 0.678 Hg
```

Properties
* E: -1.64 eV/atom
* crystal system: monoclinic
* SG: C2/m
* energy relative to the elements: -22 kJ/mol of atoms
* energy above the most stable polymorph in this dataset: 0 meV per atom